The following is a DFT calculation (PBE+U) of Ni2SnRhO6 after structural relaxation.

Unit cell a=3.950 b=5.786 c=5.786 alpha=90.00 beta=90.00 gamma=90.00
Each line ends with the local moment (μB).
Fractional positions:
Ni 0.858 0.500 0.000  1.78
Ni 0.858 0.000 0.500  1.78
Sn 0.660 0.000 0.000  0.00
Rh 0.694 0.500 0.500  0.50
O 0.750 0.253 0.253  0.06
O 0.750 0.253 0.747  0.06
O 0.207 0.500 0.500  0.41
O 0.172 0.000 0.000  0.02
O 0.750 0.747 0.747  0.06
O 0.750 0.747 0.253  0.06

Values from the calculation:
- energy (eV/cell) = -52.88